[1]
DFT (PBE) results for a geometry-optimized Er3Th2 structure.

Values from the calculation:
E_tot in hartree per atom: -0.2082
Energy above the lowest structure with this stoichiometry in eV per formula unit: 0.09
Formation energy from the elements in eV/atom: 0.0409

Lattice parameters (Å, degrees): 6.214 6.744 8.412 103.67 111.44 90.37
Space group P-1 (No. 2)
One atom of each set of equivalent atoms:
Er 0.015 0.444 0.199
Er 0.221 0.855 0.602
Er 0.381 0.353 0.599
Th 0.186 0.942 0.194
Th 0.408 0.249 0.996


[2]
DFT (PBE) results for a geometry-optimized Sm12Ho7Tm structure.

Values from the calculation:
E_tot in hartree per atom: -0.1621
Energy above the lowest structure with this stoichiometry in eV per formula unit: 0.00
Formation energy from the elements in eV/atom: 0.2471

Lattice parameters (Å, degrees): 19.5508 19.5508 6.1567 90.00 90.00 120.00
Space group R-3m (No. 166, hexagonal axes)
One atom of each set of equivalent atoms:
Sm 0.0000 0.4134 0.0000
Sm 0.0978 0.5489 0.4625
Ho 0.0000 0.0000 0.0000
Ho 0.0813 0.1626 0.2937
Tm 0.0000 0.0000 0.5000


[3]
DFT (PBE) results for a geometry-optimized GaB3Ru structure.

Values from the calculation:
E_tot in hartree per atom: -0.1591
Energy above the lowest structure with this stoichiometry in eV per formula unit: 6.09
Formation energy from the elements in eV/atom: 2.1371

Lattice parameters (Å, degrees): 3.870 3.870 3.870 90.00 90.00 90.00
Space group Pm-3m (No. 221)
One atom of each set of equivalent atoms:
Ga 0.000 0.000 0.000
B 0.000 0.000 0.500
Ru 0.500 0.500 0.500


[4]
DFT (PBE) results for a geometry-optimized WSe2SN structure.

Values from the calculation:
E_form (uncorrected) in meV/atom: 1311
E_tot in hartree per atom: -0.1898
Energy above the lowest structure with this stoichiometry in eV per formula unit: 3.93

Lattice parameters (Å, degrees): 4.960 4.960 3.269 90.00 90.00 90.00
Space group P4/mmm (No. 123)
One atom of each set of equivalent atoms:
W 0.000 0.000 0.000
Se 0.000 0.500 0.500
S 0.500 0.500 0.500
N 0.500 0.500 0.000


[5]
DFT (PBE) results for a geometry-optimized MgRe3Ag structure.

Values from the calculation:
E_tot in hartree per atom: -0.2118
Energy above the lowest structure with this stoichiometry in eV per formula unit: 0.00
Formation energy from the elements in eV/atom: 2.5951

Lattice parameters (Å, degrees): 4.500 4.500 4.500 90.00 90.00 90.00
Space group Pm-3m (No. 221)
One atom of each set of equivalent atoms:
Mg 0.000 0.000 0.000
Re 0.000 0.000 0.500
Ag 0.500 0.500 0.500


[6]
DFT (PBE) results for a geometry-optimized NpZn4Ir structure.

Values from the calculation:
E_tot in hartree per atom: -0.1667
Formation energy from the elements in eV/atom: -0.0538

Lattice parameters (Å, degrees): 7.303 7.303 7.303 90.00 90.00 90.00
Space group F-43m (No. 216)
One atom of each set of equivalent atoms:
Np 0.000 0.000 0.000
Zn 0.124 0.124 0.624
Ir 0.250 0.250 0.250


[7]
DFT (PBE) results for a geometry-optimized Rb2GeAsF6 structure.

Values from the calculation:
E_form (uncorrected) in meV/atom: -2097
E_tot in hartree per atom: -0.1595

Lattice parameters (Å, degrees): 6.505 6.505 8.720 90.00 90.00 90.00
Space group I4/mmm (No. 139)
One atom of each set of equivalent atoms:
Rb 0.000 0.500 0.250
Ge 0.000 0.000 0.000
As 0.000 0.000 0.500
F 0.000 0.000 0.264
F 0.236 0.236 0.000


[8]
DFT (PBE) results for a geometry-optimized SrY2W structure.

Values from the calculation:
E_tot in hartree per atom: -0.2279
Energy above the lowest structure with this stoichiometry in eV per formula unit: 1.02
Formation energy from the elements in eV/atom: 0.6890

Lattice parameters (Å, degrees): 10.163 3.269 6.902 90.00 96.46 90.00
Space group C2/m (No. 12)
One atom of each set of equivalent atoms:
Sr 0.000 0.000 0.000
Y 0.232 0.000 0.701
W 0.000 0.500 0.500


[9]
DFT (PBE) results for a geometry-optimized CdCuSi3 structure.

Values from the calculation:
E_form (uncorrected) in meV/atom: 702
E_tot in hartree per atom: -0.1306
Energy above the lowest structure with this stoichiometry in eV per formula unit: 0.00

Lattice parameters (Å, degrees): 4.609 4.609 4.609 90.00 90.00 90.00
Space group Pm-3m (No. 221)
One atom of each set of equivalent atoms:
Cd 0.000 0.000 0.000
Cu 0.500 0.500 0.500
Si 0.000 0.500 0.500


[10]
DFT (PBE) results for a geometry-optimized MgZrCrPb2 structure.

Values from the calculation:
E_tot in hartree per atom: -0.1692
Formation energy from the elements in eV/atom: 0.8313

Lattice parameters (Å, degrees): 5.683 5.683 4.880 90.00 90.00 90.00
Space group P4/mmm (No. 123)
One atom of each set of equivalent atoms:
Mg 0.000 0.000 0.000
Zr 0.500 0.500 0.500
Cr 0.500 0.500 0.000
Pb 0.000 0.500 0.500


[11]
DFT (PBE) results for a geometry-optimized CaPmBiPb structure.

Values from the calculation:
E_tot in hartree per atom: -0.1513
Formation energy from the elements in eV/atom: -0.5317

Lattice parameters (Å, degrees): 7.926 7.926 7.926 90.00 90.00 90.00
Space group F-43m (No. 216)
One atom of each set of equivalent atoms:
Ca 0.000 0.000 0.000
Pm 0.000 0.000 0.500
Bi 0.250 0.250 0.750
Pb 0.250 0.250 0.250


[12]
DFT (PBE) results for a geometry-optimized Cr2AgHg structure.

Values from the calculation:
E_tot in hartree per atom: -0.1816
Formation energy from the elements in eV/atom: 0.6582

Lattice parameters (Å, degrees): 3.541 3.541 5.906 90.00 90.00 90.00
Space group P4mm (No. 99)
One atom of each set of equivalent atoms:
Cr 0.000 0.000 0.000
Cr 0.500 0.500 0.275
Ag 0.500 0.500 0.788
Hg 0.000 0.000 0.500